(1)
Below is crystalline TbYGe at its relaxed geometry, with properties calculated at the GGA-PBE level.

Structure (POSCAR):
```
TbYGe
1.0
-1.5373 3.9125 0.5812
-3.7586 -3.2261 -3.7171
-3.3222 -2.0715 5.1571
Ge Y Tb
2 2 2
Direct
0.8854 0.7709 0.7500 Ge
0.1146 0.2291 0.2500 Ge
0.5000 0.0000 0.0000 Y
0.5000 0.0000 0.5000 Y
0.7926 0.5852 0.2500 Tb
0.2074 0.4148 0.7500 Tb
```

Results
* density of states at the Fermi level: 3.08 states/eV/cell
* magnetic moment: 0.0 μB/cell
* offset from the most stable computed form: 0.0 meV per atom
* calculated formation energy: -650.3 meV per atom

=====

(2)
Below is crystalline Pr7Tm4Mg at its relaxed geometry, with properties calculated at the GGA-PBE level.

Structure (POSCAR):
```
Pr7Tm4Mg
1.0
-3.5321 2.5579 3.5537
-2.5494 -3.6229 4.5266
7.6577 2.0780 10.5681
Pr Tm Mg
7 4 1
Direct
0.1546 0.9479 0.7428 Pr
0.7723 0.5605 0.8949 Pr
0.6384 0.1911 0.5322 Pr
0.5000 0.0000 0.0000 Pr
0.3616 0.8089 0.4678 Pr
0.2277 0.4395 0.1051 Pr
0.8454 0.0521 0.2572 Pr
0.5504 0.6744 0.2248 Tm
0.9090 0.5561 0.6259 Tm
0.0910 0.4439 0.3741 Tm
0.4496 0.3256 0.7752 Tm
0.0000 0.0000 0.0000 Mg
```

Results
* density of states at the Fermi level: 16.20 states/eV/cell
* magnetic moment: 0.0 μB/cell
* calculated formation energy: 195.7 meV per atom

=====

(3)
Below is crystalline TeRuSe2 at its relaxed geometry, with properties calculated at the GGA-PBE level.

Structure (POSCAR):
```
TeRuSe2
1.0
4.7664 0.0000 0.0000
2.3832 4.1278 0.0000
2.3832 1.3759 3.8918
Se Te Ru
2 1 1
Direct
0.2500 0.2500 0.2500 Se
0.0000 0.0000 0.0000 Se
0.7500 0.7500 0.7500 Te
0.5000 0.5000 0.5000 Ru
```

Results
* uncorrected formation energy: 0.59 eV per atom
* density of states at the Fermi level: 3.94 states/eV/cell
* magnetic moment: 0.0 μB/cell

=====

(4)
Below is crystalline Tb2Dy4Th5 at its relaxed geometry, with properties calculated at the GGA-PBE level.

Structure (POSCAR):
```
Tb2Dy4Th5
1.0
-0.4862 3.1108 -1.4535
-7.4085 1.0140 4.6485
5.3044 5.0648 9.0655
Th Dy Tb
5 4 2
Direct
0.0000 0.5745 0.7110 Th
0.0000 0.4255 0.2890 Th
0.0000 0.2037 0.8257 Th
0.0000 0.5000 0.0000 Th
0.0000 0.7963 0.1743 Th
0.5000 0.8407 0.9015 Dy
0.5000 0.1593 0.0985 Dy
0.5000 0.7036 0.4460 Dy
0.5000 0.2964 0.5540 Dy
0.0000 0.0566 0.3640 Tb
0.0000 0.9434 0.6360 Tb
```

Results
* density of states at the Fermi level: 17.51 states/eV/cell
* magnetic moment: 0.0 μB/cell
* calculated formation energy: 130.8 meV per atom

=====

(5)
Below is crystalline Ba2MgBiO at its relaxed geometry, with properties calculated at the GGA-PBE level.

Structure (POSCAR):
```
Ba2MgBiO
1.0
-5.1939 -2.1408 -0.6154
1.2188 -1.4244 -5.3314
1.5276 -4.1231 1.4508
Ba Mg O Bi
2 1 1 1
Direct
0.0000 0.5000 0.0000 Ba
0.5000 0.0000 0.0000 Ba
0.0000 0.0000 0.5000 Mg
0.0000 0.0000 0.0000 O
0.5000 0.5000 0.5000 Bi
```

Results
* uncorrected formation energy: -1.27 eV per atom
* density of states at the Fermi level: 2.52 states/eV/cell
* magnetic moment: 0.0 μB/cell

=====

(6)
Below is crystalline CeTlBi at its relaxed geometry, with properties calculated at the GGA-PBE level.

Structure (POSCAR):
```
CeTlBi
1.0
4.4282 0.0000 0.0000
0.0000 4.4282 0.0000
-2.2141 -2.2141 4.8615
Tl Ce Bi
1 1 1
Direct
0.9545 0.9545 0.9091 Tl
0.6237 0.6237 0.2474 Ce
0.2718 0.2718 0.5435 Bi
```

Results
* density of states at the Fermi level: 8.24 states/eV/cell
* magnetic moment: 1.6 μB/cell
* offset from the most stable computed form: 175.2 meV per atom
* calculated formation energy: -243.1 meV per atom

=====

(7)
Below is crystalline PmEr7Tm4 at its relaxed geometry, with properties calculated at the GGA-PBE level.

Structure (POSCAR):
```
PmEr7Tm4
1.0
-5.4977 1.4404 -1.0859
-4.9436 0.5002 10.2768
-1.3255 6.5085 -0.0711
Tm Er Pm
4 7 1
Direct
0.7476 0.6853 0.8194 Tm
0.6317 0.2261 0.5104 Tm
0.2524 0.3147 0.1806 Tm
0.3683 0.7739 0.4896 Tm
0.6357 0.4954 0.2331 Er
0.7887 0.9227 0.4999 Er
0.2113 0.0773 0.5001 Er
0.5000 0.0000 0.0000 Er
0.0580 0.6700 0.2140 Er
0.3643 0.5046 0.7669 Er
0.9420 0.3300 0.7860 Er
0.0000 0.0000 0.0000 Pm
```

Results
* density of states at the Fermi level: 20.76 states/eV/cell
* magnetic moment: 0.0 μB/cell
* offset from the most stable computed form: 293.7 meV per atom
* calculated formation energy: 291.9 meV per atom

=====

(8)
Below is crystalline Fe3Pd6Pt at its relaxed geometry, with properties calculated at the GGA-PBE level.

Structure (POSCAR):
```
Fe3Pd6Pt
1.0
7.1499 -1.1987 -0.8468
2.5478 4.3578 -0.1390
2.5478 1.3253 4.1537
Pt Fe Pd
1 3 6
Direct
0.5000 0.5000 0.5000 Pt
0.0000 0.0000 0.0000 Fe
0.6890 0.9395 0.9395 Fe
0.3110 0.0605 0.0605 Fe
0.9306 0.3495 0.3495 Pd
0.2982 0.5606 0.0687 Pd
0.7018 0.4394 0.9313 Pd
0.2982 0.0687 0.5606 Pd
0.0694 0.6505 0.6505 Pd
0.7018 0.9313 0.4394 Pd
```

Results
* density of states at the Fermi level: 8.94 states/eV/cell
* magnetic moment: 11.3 μB/cell
* offset from the most stable computed form: 139.9 meV per atom
* calculated formation energy: 63.1 meV per atom

=====

(9)
Below is crystalline Be2ZnCdP at its relaxed geometry, with properties calculated at the GGA-PBE level.

Structure (POSCAR):
```
Be2ZnCdP
1.0
4.2174 0.0000 0.0000
0.0000 4.8970 0.0000
0.0000 0.0000 4.2174
P Be Zn Cd
1 2 1 1
Direct
0.0000 0.5000 0.0000 P
0.0000 0.0000 0.5000 Be
0.5000 0.0000 0.0000 Be
0.0000 0.0000 0.0000 Zn
0.5000 0.5000 0.5000 Cd
```

Results
* density of states at the Fermi level: 1.89 states/eV/cell
* magnetic moment: 0.0 μB/cell
* calculated formation energy: 825.2 meV per atom

=====

(10)
Below is crystalline Cd3HgCl at its relaxed geometry, with properties calculated at the GGA-PBE level.

Structure (POSCAR):
```
Cd3HgCl
1.0
-3.1798 -0.0247 -4.8397
1.6709 -5.4404 -1.0701
-4.5422 -1.9840 2.9945
Cd Hg Cl
3 1 1
Direct
0.0000 0.0000 0.5000 Cd
0.5000 0.0000 0.0000 Cd
0.0000 0.5000 0.0000 Cd
0.5000 0.5000 0.5000 Hg
0.0000 0.0000 0.0000 Cl
```

Results
* uncorrected formation energy: 0.26 eV per atom
* density of states at the Fermi level: 5.86 states/eV/cell
* magnetic moment: 0.0 μB/cell
* offset from the most stable computed form: 301.6 meV per atom

=====

(11)
Below is crystalline Er2Pd12Au5 at its relaxed geometry, with properties calculated at the GGA-PBE level.

Structure (POSCAR):
```
Er2Pd12Au5
1.0
8.4772 0.0000 0.0000
-4.2386 6.0265 1.2671
0.0000 -0.5095 6.5294
Au Pd Er
5 12 2
Direct
0.3575 0.7150 0.1167 Au
0.6425 0.2850 0.8833 Au
0.7734 0.5469 0.5074 Au
0.0000 0.0000 0.5000 Au
0.2266 0.4531 0.4926 Au
0.4474 0.8947 0.7103 Pd
0.1718 0.7928 0.4268 Pd
0.3790 0.2072 0.5732 Pd
0.9229 0.4751 0.1832 Pd
0.5526 0.1053 0.2897 Pd
0.5522 0.4751 0.1832 Pd
0.6210 0.7928 0.4268 Pd
0.8645 0.7290 0.8751 Pd
0.8282 0.2072 0.5732 Pd
0.0771 0.5249 0.8168 Pd
0.1355 0.2710 0.1249 Pd
0.4478 0.5249 0.8168 Pd
0.2282 0.0000 0.0000 Er
0.7718 0.0000 0.0000 Er
```

Results
* density of states at the Fermi level: 12.12 states/eV/cell
* magnetic moment: 0.0 μB/cell
* calculated formation energy: -278.4 meV per atom

=====

(12)
Below is crystalline Na3H6N2O at its relaxed geometry, with properties calculated at the GGA-PBE level.

Structure (POSCAR):
```
Na3H6N2O
1.0
-0.6224 -2.6303 4.6748
-2.0624 -2.0532 -4.5487
4.2823 -2.4769 -0.8236
O Na H N
1 3 6 2
Direct
0.0000 0.0000 0.5000 O
0.3333 0.6667 0.8197 Na
0.0000 0.0000 0.0000 Na
0.6667 0.3333 0.1803 Na
0.5471 0.7736 0.3770 H
0.2264 0.7736 0.3770 H
0.7736 0.2264 0.6230 H
0.2264 0.4529 0.3770 H
0.4529 0.2264 0.6230 H
0.7736 0.5471 0.6230 H
0.6667 0.3333 0.6871 N
0.3333 0.6667 0.3129 N
```

Results
* uncorrected energy: -49.8 eV/f.u.
* density of states at the Fermi level: 0.87 states/eV/cell
* magnetic moment: 0.0 μB/cell

=====

(13)
Below is crystalline AgAuS at its relaxed geometry, with properties calculated at the GGA-PBE level.

Structure (POSCAR):
```
AgAuS
1.0
-0.8432 -3.5115 1.0292
3.4838 -1.4216 -1.9962
0.2122 1.1495 4.0959
S Ag Au
1 1 1
Direct
0.1368 0.0000 0.0000 S
0.6685 0.6667 0.3333 Ag
0.1947 0.3333 0.6667 Au
```

Results
* uncorrected formation energy: 0.19 eV per atom
* density of states at the Fermi level: 0.61 states/eV/cell
* magnetic moment: 0.0 μB/cell

=====

(14)
Below is crystalline YHfCl3 at its relaxed geometry, with properties calculated at the GGA-PBE level.

Structure (POSCAR):
```
YHfCl3
1.0
4.9796 0.0000 0.0000
0.0000 4.9796 0.0000
0.0000 0.0000 4.9796
Cl Y Hf
3 1 1
Direct
0.0000 0.0000 0.5000 Cl
0.5000 0.0000 0.0000 Cl
0.0000 0.5000 0.0000 Cl
0.5000 0.5000 0.5000 Y
0.0000 0.0000 0.0000 Hf
```

Results
* uncorrected formation energy: -0.57 eV per atom
* density of states at the Fermi level: 6.82 states/eV/cell
* magnetic moment: 2.0 μB/cell
* offset from the most stable computed form: 0.0 meV per atom

=====

(15)
Below is crystalline Ho3Tm2Hg4 at its relaxed geometry, with properties calculated at the GGA-PBE level.

Structure (POSCAR):
```
Ho3Tm2Hg4
1.0
-3.7693 -5.7833 -0.0683
6.0636 -3.9878 3.0260
-1.0735 4.7212 8.3728
Hg Ho Tm
8 6 4
Direct
0.1814 0.7500 0.8627 Hg
0.3357 0.4642 0.6714 Hg
0.6643 0.5358 0.3286 Hg
0.1643 0.9642 0.3286 Hg
0.8186 0.2500 0.1373 Hg
0.3186 0.2500 0.1373 Hg
0.8357 0.0358 0.6714 Hg
0.6814 0.7500 0.8627 Hg
0.5112 0.7500 0.5224 Ho
0.0000 0.0000 0.0000 Ho
0.9888 0.2500 0.4776 Ho
0.5000 0.5000 0.0000 Ho
0.0112 0.7500 0.5224 Ho
0.4888 0.2500 0.4776 Ho
0.4059 0.0873 0.8117 Tm
0.9059 0.4127 0.8117 Tm
0.5941 0.9127 0.1883 Tm
0.0941 0.5873 0.1883 Tm
```

Results
* density of states at the Fermi level: 14.68 states/eV/cell
* magnetic moment: 0.0 μB/cell
* calculated formation energy: -301.1 meV per atom

=====

(16)
Below is crystalline AlTeRh at its relaxed geometry, with properties calculated at the GGA-PBE level.

Structure (POSCAR):
```
AlTeRh
1.0
6.4417 -0.0115 0.0122
5.7036 2.9928 0.0158
0.7381 0.1754 2.9993
Al Te Rh
1 1 1
Direct
0.0388 0.0388 0.9612 Al
0.3182 0.3182 0.6818 Te
0.6430 0.6430 0.3570 Rh
```

Results
* uncorrected formation energy: -0.19 eV per atom
* density of states at the Fermi level: 1.67 states/eV/cell
* magnetic moment: 0.0 μB/cell

=====

(17)
Below is crystalline Np2Co3NiB12 at its relaxed geometry, with properties calculated at the GGA-PBE level.

Structure (POSCAR):
```
Np2Co3NiB12
1.0
7.7683 1.4584 1.0344
5.1045 6.0346 1.0344
5.1045 2.9712 5.3534
B Co Ni Np
12 3 1 2
Direct
0.6811 0.0491 0.0491 B
0.0491 0.6811 0.0491 B
0.9509 0.9509 0.3189 B
0.6513 0.6513 0.9781 B
0.0219 0.3487 0.3487 B
0.3189 0.9509 0.9509 B
0.9781 0.6513 0.6513 B
0.0491 0.0491 0.6811 B
0.3487 0.0219 0.3487 B
0.3487 0.3487 0.0219 B
0.6513 0.9781 0.6513 B
0.9509 0.3189 0.9509 B
0.0000 0.0000 0.5000 Co
0.5000 0.0000 0.0000 Co
0.0000 0.5000 0.0000 Co
0.0000 0.0000 0.0000 Ni
0.6426 0.6426 0.6426 Np
0.3574 0.3574 0.3574 Np
```

Results
* density of states at the Fermi level: 15.30 states/eV/cell
* magnetic moment: 7.9 μB/cell
* calculated formation energy: 55.1 meV per atom

=====

(18)
Below is crystalline ScInF2 at its relaxed geometry, with properties calculated at the GGA-PBE level.

Structure (POSCAR):
```
ScInF2
1.0
2.3758 -3.7806 0.6372
-2.1070 -3.8235 1.1337
-0.2970 -3.3784 -2.9736
Sc F In
1 2 1
Direct
0.0000 0.0000 0.0000 Sc
0.7500 0.7500 0.7500 F
0.2500 0.2500 0.2500 F
0.5000 0.5000 0.5000 In
```

Results
* uncorrected formation energy: -1.49 eV per atom
* density of states at the Fermi level: 5.94 states/eV/cell
* magnetic moment: 0.0 μB/cell
* offset from the most stable computed form: 787.1 meV per atom

=====

(19)
Below is crystalline TaVZn2As at its relaxed geometry, with properties calculated at the GGA-PBE level.

Structure (POSCAR):
```
TaVZn2As
1.0
-0.1487 -3.7736 -2.5405
-2.3846 -2.0927 3.2480
-3.8704 1.4406 -1.9133
Ta Zn As V
1 2 1 1
Direct
0.5000 0.5000 0.5000 Ta
0.5000 0.0000 0.0000 Zn
0.0000 0.0000 0.5000 Zn
0.0000 0.0000 0.0000 As
0.0000 0.5000 0.0000 V
```

Results
* density of states at the Fermi level: 5.90 states/eV/cell
* magnetic moment: 0.0 μB/cell
* calculated formation energy: 1032.3 meV per atom

=====

(20)
Below is crystalline Mn2MoCl at its relaxed geometry, with properties calculated at the GGA-PBE level.

Structure (POSCAR):
```
Mn2MoCl
1.0
-2.0249 -1.5881 2.9771
0.2979 -3.5275 -1.6790
3.3463 -0.6386 1.9354
Cl Mn Mo
1 2 1
Direct
0.5000 0.0000 0.5000 Cl
0.0000 0.0000 0.0000 Mn
0.0000 0.5000 0.5000 Mn
0.5000 0.5000 0.0000 Mo
```

Results
* uncorrected formation energy: 0.87 eV per atom
* density of states at the Fermi level: 5.14 states/eV/cell
* magnetic moment: 5.0 μB/cell
* offset from the most stable computed form: 727.8 meV per atom